[1]
First-principles (PBE) data for an optimized crystal structure of LiTb2Bi, as listed in Alexandria.

SG ... P4/mmm, No. 123
ΔE to the lowest computed polymorph ... 2 meV per atom
E ... -4.150 eV per atom
Formation energy ... -386 meV per atom
D(E_F) ... 3.3 states/eV/f.u.
Calculated volume ... 107.36 Å³ per cell

a b c (Å): 4.9508 4.9508 4.3804
angles (deg): 90.00 90.00 90.00
With the nearest neighbours (Å) after each atom.
Fractional positions:
Li  0.0000  0.0000  0.0000  8 Tb 3.31, 4 Bi 3.50
Tb  0.0000  0.5000  0.5000  4 Li 3.31, 4 Bi 3.31, 4 Tb 3.50
Tb  0.5000  0.0000  0.5000  4 Li 3.31, 4 Bi 3.31, 4 Tb 3.50
Bi  0.5000  0.5000  0.0000  8 Tb 3.31, 4 Li 3.50


[2]
First-principles (PBE) data for an optimized crystal structure of ZnTc2Sb, as listed in Alexandria.

SG ... P4mm, No. 99
Formation energy from raw total energies ... 0.102 eV per atom
ΔE to the lowest computed polymorph ... 0 meV per atom
E ... -6.430 eV per atom
D(E_F) ... 3.2 states/eV/f.u.
Calculated volume ... 75.41 Å³ per cell

a b c (Å): 2.9986 2.9986 8.3868
angles (deg): 90.00 90.00 90.00
With the nearest neighbours (Å) after each atom.
Fractional positions:
Zn  0.0000  0.0000  0.0000  4 Tc 2.70, 4 Zn 3.00
Tc  0.0000  0.0000  0.6197  4 Tc 2.61, 4 Sb 2.90
Tc  0.5000  0.5000  0.8015  4 Tc 2.61, 4 Zn 2.70
Sb  0.5000  0.5000  0.3839  4 Tc 2.90, 4 Sb 3.00


[3]
First-principles (PBE) data for an optimized crystal structure of MgFe2Bi, as listed in Alexandria.

SG ... Fm-3m, No. 225
ΔE to the lowest computed polymorph ... 0 meV per atom
E ... -5.089 eV per atom
Formation energy ... 511 meV per atom
D(E_F) ... 4.9 states/eV/f.u.
Calculated volume ... 60.56 Å³ per cell

a b c (Å): 4.4079 4.4079 4.4079
angles (deg): 60.00 60.00 60.00
With the nearest neighbours (Å) after each atom.
Fractional positions:
Mg  0.0000  0.0000  0.0000  8 Fe 2.70
Fe  0.2500  0.2500  0.2500  4 Bi 2.70, 4 Mg 2.70
Fe  0.7500  0.7500  0.7500  4 Bi 2.70, 4 Mg 2.70
Bi  0.5000  0.5000  0.5000  8 Fe 2.70


[4]
First-principles (PBE) data for an optimized crystal structure of CaAc8Er2, as listed in Alexandria.

SG ... C2/m, No. 12
E ... -3.855 eV per atom
Formation energy ... 144 meV per atom
D(E_F) ... 17.4 states/eV/f.u.
Calculated volume ... 491.54 Å³ per cell

a b c (Å): 11.1120 11.1120 6.1686
angles (deg): 91.95 91.95 40.22
With the nearest neighbours (Å) after each atom.
Fractional positions:
Ca  0.0000  0.0000  0.0000  10 Ac 3.90-4.22
Ac  0.1280  0.5980  0.2633  5 Ac 3.59-4.01, 3 Er 3.70-3.92, 1 Ca 3.90
Ac  0.1910  0.1910  0.2403  4 Er 3.65-3.85, 6 Ac 3.84-4.01
Ac  0.4020  0.8720  0.7367  5 Ac 3.59-4.01, 3 Er 3.70-3.92, 1 Ca 3.90
Ac  0.4506  0.4506  0.7584  1 Er 3.45, 2 Ac 3.56-3.86
Ac  0.5494  0.5494  0.2416  1 Er 3.45, 2 Ac 3.56-3.86
Ac  0.5980  0.1280  0.2633  5 Ac 3.59-4.01, 3 Er 3.70-3.92, 1 Ca 3.90
Ac  0.8090  0.8090  0.7597  4 Er 3.65-3.85, 6 Ac 3.84-4.01
Ac  0.8720  0.4020  0.7367  5 Ac 3.59-4.01, 3 Er 3.70-3.92, 1 Ca 3.90
Er  0.2854  0.2854  0.7528  7 Ac 3.45-3.85
Er  0.7146  0.7146  0.2472  7 Ac 3.45-3.85